The following is a DFT calculation (PBE-GGA) of a geometry-optimized Pm4Si2Sb structure.

space-group type	No. 141
ΔE_f (raw)	-0.639	eV per atom

Cell: 8.2659 8.2659 8.2704 Å, 109.26 109.29 109.84°
Last column: nearest neighbours and their distance in Å.
Fractional coordinates of all 14 atoms:
Pm 0.9192 0.2384 0.3194  3 Si 2.87-2.98, 1 Sb 3.15
Pm 0.3307 0.5116 0.1805  3 Si 2.87-2.98, 1 Sb 3.15
Pm 0.9189 0.5998 0.6806  3 Si 2.87-2.98, 1 Sb 3.15
Pm 0.7617 0.0808 0.6806  3 Si 2.87-2.98, 1 Sb 3.15
Pm 0.4002 0.0811 0.3194  3 Si 2.87-2.98, 1 Sb 3.15
Pm 0.3311 0.1502 0.8194  3 Si 2.87-2.98, 1 Sb 3.15
Pm 0.4883 0.6692 0.8194  3 Si 2.87-2.98, 1 Sb 3.15
Pm 0.8498 0.6689 0.1806  3 Si 2.87-2.98, 1 Sb 3.15
Si 0.6251 0.3750 0.7501  6 Pm 2.87-2.98
Si 0.6249 0.8750 0.2499  6 Pm 2.87-2.98
Si 0.6250 0.3750 0.2501  6 Pm 2.87-2.98
Si 0.1250 0.3750 0.7499  6 Pm 2.87-2.98
Sb 0.2502 0.7502 0.5000  4 Pm 3.15
Sb 0.9998 0.9998 0.0000  4 Pm 3.15